[1]
DFT (PBE) results for La3TbHo12 after structural relaxation.

Properties
As for the crystal system: tetragonal. As for the density of states at the Fermi level: 24.47 states/eV per cell. For the total energy, the calculation gives -4.62 eV per atom. The total moment is 0.0000 μB/atom.

```
16
Lattice="-0.4036 -0.7415 4.9789 4.5325 -2.2265 0.0358 8.7675 17.9024 3.3768" Properties=species:S:1:pos:R:3 pbc="T T T"
Ho 3.0806 6.3316 3.7537
Ho 2.0645 -1.4840 2.5074
Ho 4.2395 2.9571 3.3451
Ho 9.9619 14.6005 2.9819
Ho 3.3381 1.0754 0.4307
Ho 7.4939 15.3431 5.4534
Ho 0.8701 1.8179 2.9023
Ho 7.7514 10.0869 2.1305
Ho 8.6570 11.9773 5.0465
Ho 5.2833 10.8294 4.6021
Ho 5.5486 5.5891 1.2821
Ho 6.4482 7.4672 4.1958
La 2.1915 4.4749 0.8441
La 4.3838 8.9512 1.6884
La 6.5760 13.4275 2.5327
Tb 0.0000 0.0000 0.0000
```

[2]
DFT (PBE) results for LaTbHo2 after structural relaxation.

Properties
As for the crystal system: orthorhombic. As for the density of states at the Fermi level: 25.41 states/eV per cell. For the total energy, the calculation gives -4.65 eV per atom. The total moment is 0.0000 μB/atom. The energy above the most stable polymorph in this dataset is 0.017 eV per atom.

```
16
Lattice="5.0927 0.0000 0.0000 0.0000 10.1920 0.0000 0.0000 0.0000 10.0845" Properties=species:S:1:pos:R:3 pbc="T T T"
Ho 3.8195 6.3684 2.5408
Ho 1.2732 8.9197 7.5830
Ho 3.8195 8.9539 10.0824
Ho 1.2732 3.8237 7.5437
Ho 3.8195 1.2724 2.5015
Ho 1.2732 6.3342 5.0402
Ho 3.8195 3.8578 5.0443
Ho 1.2732 1.2382 0.0020
La 3.8195 8.8953 5.0414
La 1.2732 6.3927 10.0836
La 1.2732 1.2967 5.0431
La 3.8195 3.7993 0.0008
Tb 1.2732 8.9194 2.4988
Tb 3.8195 1.2727 7.5857
Tb 3.8195 6.3687 7.5410
Tb 1.2732 3.8234 2.5435
```